# 1
DFT (GGA-PBE) results for an optimized crystal structure of Tb3Y2Tm8.

Output
* SG: No. 10
* Fermi-level density of states: 1.8219 states/eV per atom
* energy of formation: 3.284 eV/f.u.

Cell lengths 7.5559, 5.5253, 10.7918 Å; angles 90.00, 110.45, 90.00 degrees
Positions (direct):
1 Tb 0.0000 0.0000 0.0000
2 Tb 0.2869 0.5000 0.9999
3 Tb 0.7131 0.5000 0.0001
4 Y 0.2413 0.0000 0.4821
5 Y 0.7587 0.0000 0.5179
6 Tm 0.1317 0.5000 0.2634
7 Tm 0.1793 0.0000 0.7826
8 Tm 0.3351 0.5000 0.6697
9 Tm 0.3967 0.0000 0.2175
10 Tm 0.6033 0.0000 0.7825
11 Tm 0.6649 0.5000 0.3303
12 Tm 0.8207 0.0000 0.2174
13 Tm 0.8683 0.5000 0.7366


# 2
DFT (GGA-PBE) results for an optimized crystal structure of LiSeCl2.

Output
* SG: No. 47
* energy relative to the elements, uncorrected: -0.619 eV/atom
* Fermi-level density of states: 0.2211 states/eV per atom
* energy relative to the lowest polymorph listed for this composition: 181 meV per atom

Cell lengths 3.6422, 3.6513, 8.4451 Å; angles 90.00, 90.00, 90.00 degrees
Positions (direct):
1 Li 0.0000 0.0000 0.0000
2 Se 0.5000 0.0000 0.5000
3 Cl 0.0000 0.5000 0.5000
4 Cl 0.5000 0.5000 0.0000


# 3
DFT (GGA-PBE) results for an optimized crystal structure of TlSnSF.

Output
* SG: No. 8
* energy relative to the elements, uncorrected: -1.050 eV/atom

Cell lengths 4.2558, 4.2558, 7.7215 Å; angles 113.19, 113.19, 56.20 degrees
Positions (direct):
1 Tl 0.0000 0.0000 0.0000
2 Sn 0.0580 0.0580 0.4916
3 S 0.5580 0.5580 0.7265
4 F 0.7352 0.7352 0.3286